# LaBe3Os GGA-PBE relaxed
data_LaBe3Os
_chemical_formula_sum 'La4 Be12 Os4'
_cell_length_a 3.8887
_cell_length_b 3.8887
_cell_length_c 21.4516
_cell_angle_alpha 90.00
_cell_angle_beta 90.00
_cell_angle_gamma 90.00
_space_group_name_H-M_alt 'I -4 m 2'
_space_group_IT_number 119
_space_group_name_Hall 'I -4 -2'
loop_
_atom_site_label
_atom_site_type_symbol
_atom_site_fract_x
_atom_site_fract_y
_atom_site_fract_z
_atom_site_occupancy
La1 La 0.0000 0.0000 0.0000 1
La2 La 0.0000 0.5000 0.2500 1
Be1 Be 0.0000 0.0000 0.3988 1
Be2 Be 0.0000 0.2476 0.1228 1
Os1 Os 0.0000 0.5000 0.6601 1
# Energy   -5.304 eV per atom
# Magnetization   0.00 μB/f.u.
# Offset from the most stable computed form   1.61 eV per formula unit
# E_form   0.164 eV/atom